(1)
Al2TlRh (PBE, optimized geometry); total energy = -4.24 eV per atom; SG = C2/m
1.0
5.491 0.050 0.276
-2.255 5.007 0.276
0.845 1.320 2.760
Tl Rh Al
1 1 2
Direct
0.000 0.500 0.500 Tl
0.500 0.000 0.500 Rh
0.000 0.000 0.000 Al
0.500 0.500 0.000 Al

---

(2)
AlTl2Rh (PBE, optimized geometry); total energy = -3.69 eV per atom; SG = I4/mmm
1.0
-1.574 3.799 -3.243
-1.689 -2.291 -4.396
-1.227 -0.925 5.006
Tl Rh Al
2 1 1
Direct
0.000 0.000 0.000 Tl
0.500 0.500 0.000 Tl
0.750 0.250 0.500 Rh
0.250 0.750 0.500 Al

---

(3)
Al2TlRh (PBE, optimized geometry); total energy = -4.47 eV per atom; SG = C2/m
1.0
4.151 -0.062 0.058
3.039 2.828 0.058
1.308 0.503 6.849
Tl Rh Al
1 1 2
Direct
0.250 0.250 0.250 Tl
0.750 0.750 0.750 Rh
0.011 0.011 0.919 Al
0.489 0.489 0.581 Al

---

(4)
Al2TlRh (PBE, optimized geometry); total energy = -4.66 eV per atom; SG = P2/m
1.0
2.979 0.000 0.000
0.000 2.998 -0.303
0.000 0.855 8.272
Tl Rh Al
1 1 2
Direct
0.500 0.750 0.750 Tl
0.500 0.250 0.250 Rh
0.000 0.751 0.068 Al
0.000 0.749 0.432 Al

---

(5)
AlTlRh2 (PBE, optimized geometry); total energy = -5.32 eV per atom; SG = P4mm
1.0
-2.172 1.118 -2.258
-0.659 -3.129 -0.916
-4.509 -0.281 4.198
Tl Rh Al
1 2 1
Direct
0.000 0.000 0.481 Tl
0.000 0.000 0.953 Rh
0.500 0.500 0.242 Rh
0.500 0.500 0.824 Al

---

(6)
Al2TlRh (PBE, optimized geometry); total energy = -4.44 eV per atom; SG = Cm
1.0
4.681 0.008 -0.013
3.519 3.086 -0.013
0.696 0.263 5.174
Tl Rh Al
1 1 2
Direct
0.244 0.244 0.248 Tl
0.484 0.484 0.599 Rh
0.012 0.012 0.948 Al
0.760 0.760 0.704 Al